Compound: Ac4TeAsSe2
Source: Alexandria
Functional: PBE
Structure: optimized geometry

Summary:
**Raw formation energy**: -1.700 eV/atom
**DFT total energy**: -5.599 eV/atom
**Space-group type**: P2/m (10)

Geometry as POSCAR:
```
Ac4TeAsSe2
1.0
-2.534 3.207 1.969
-6.310 -2.371 -4.258
0.200 -3.986 6.752
Ac Te As Se
4 1 1 2
direct
0.500 0.235 0.249
0.500 0.765 0.751
0.000 0.230 0.739
0.000 0.770 0.261
0.500 0.500 0.000
0.000 0.000 0.000
0.500 0.000 0.500
0.000 0.500 0.500
```

=====

Compound: Ac8TeAs3Se4
Source: Alexandria
Functional: PBE
Structure: optimized geometry

Summary:
**Raw formation energy**: -1.713 eV/atom
**DFT total energy**: -5.707 eV/atom
**Space-group type**: R-3m (166)

Geometry as POSCAR:
```
Ac8TeAs3Se4
1.0
9.094 0.000 0.000
0.000 9.047 -0.040
-4.547 -4.543 6.434
Ac Te As Se
8 1 3 4
direct
0.257 0.749 0.993
0.257 0.749 0.513
0.253 0.260 0.507
0.736 0.749 0.993
0.264 0.251 0.007
0.747 0.740 0.493
0.743 0.251 0.487
0.743 0.251 0.007
0.000 0.500 0.000
0.500 0.500 0.000
0.500 0.500 0.500
0.000 0.500 0.500
0.500 0.000 0.000
0.500 0.000 0.500
0.000 0.000 0.000
0.000 0.000 0.500
```

=====

Compound: Ac6Te3AsSe2
Source: Alexandria
Functional: PBE
Structure: optimized geometry

Summary:
**Raw formation energy**: -1.648 eV/atom
**DFT total energy**: -5.456 eV/atom
**Space-group type**: C2/m (12)

Geometry as POSCAR:
```
Ac6Te3AsSe2
1.0
-5.729 -5.458 -0.462
5.108 -0.122 6.059
-4.468 6.421 2.170
Ac Te As Se
6 3 1 2
direct
0.925 0.597 0.777
0.746 0.746 0.224
0.075 0.403 0.223
0.597 0.925 0.777
0.254 0.254 0.776
0.403 0.075 0.223
0.168 0.832 0.500
0.832 0.168 0.500
0.500 0.500 0.500
0.000 0.000 0.000
0.333 0.667 0.000
0.667 0.333 0.000
```

=====

Compound: Ac6Te2As3Se
Source: Alexandria
Functional: PBE
Structure: optimized geometry

Summary:
**Raw formation energy**: -1.609 eV/atom
**DFT total energy**: -5.640 eV/atom
**Space-group type**: C2/m (12)

Geometry as POSCAR:
```
Ac6Te2As3Se
1.0
-0.084 3.708 -2.677
-6.106 -4.165 -5.576
-5.657 2.925 8.135
Ac Te As Se
6 2 3 1
direct
0.332 0.932 0.663
0.661 0.599 0.321
0.668 0.068 0.337
0.994 0.254 0.988
0.006 0.746 0.012
0.339 0.401 0.679
0.834 0.666 0.667
0.166 0.334 0.333
0.500 0.500 0.000
0.832 0.165 0.664
0.168 0.835 0.336
0.500 0.000 0.000
```

=====

Compound: Ac8Te3AsSe4
Source: Alexandria
Functional: PBE
Structure: optimized geometry

Summary:
**Raw formation energy**: -1.688 eV/atom
**DFT total energy**: -5.493 eV/atom
**Space-group type**: R-3m (166)

Geometry as POSCAR:
```
Ac8Te3AsSe4
1.0
-6.425 2.942 -5.826
-6.191 -0.143 6.754
7.774 4.735 1.017
Ac Te As Se
8 3 1 4
direct
0.246 0.762 0.016
0.246 0.762 0.492
0.242 0.225 0.483
0.770 0.762 0.016
0.230 0.238 0.984
0.758 0.775 0.517
0.754 0.238 0.508
0.754 0.238 0.984
0.500 0.500 0.000
0.500 0.500 0.500
0.000 0.500 0.500
0.000 0.500 0.000
0.500 0.000 0.000
0.500 0.000 0.500
0.000 0.000 0.000
0.000 0.000 0.500
```

=====

Compound: Ac6Te2AsSe3
Source: Alexandria
Functional: PBE
Structure: optimized geometry

Summary:
**Raw formation energy**: -1.695 eV/atom
**DFT total energy**: -5.532 eV/atom
**Space-group type**: C2/m (12)

Geometry as POSCAR:
```
Ac6Te2AsSe3
1.0
4.541 0.000 0.000
0.000 9.199 0.363
-2.270 -2.612 9.601
Ac Te As Se
6 2 1 3
direct
0.338 0.932 0.675
0.660 0.598 0.320
0.662 0.068 0.325
0.995 0.240 0.991
0.005 0.760 0.009
0.340 0.402 0.680
0.832 0.664 0.665
0.168 0.336 0.335
0.500 0.000 0.000
0.500 0.500 0.000
0.830 0.164 0.661
0.170 0.836 0.339
```

=====

Compound: Ac6TeAs2Se3
Source: Alexandria
Functional: PBE
Structure: optimized geometry

Summary:
**Raw formation energy**: -1.713 eV/atom
**DFT total energy**: -5.675 eV/atom
**Space-group type**: C2/m (12)

Geometry as POSCAR:
```
Ac6TeAs2Se3
1.0
-0.450 -2.596 3.689
8.858 -2.065 -0.372
0.111 9.381 3.829
Ac Te As Se
6 1 2 3
direct
0.327 0.905 0.654
0.669 0.578 0.339
0.673 0.095 0.346
0.004 0.266 0.008
0.996 0.734 0.992
0.331 0.422 0.661
0.500 0.000 0.000
0.833 0.667 0.666
0.167 0.333 0.334
0.500 0.500 0.000
0.837 0.167 0.673
0.163 0.833 0.327
```

=====

Compound: Ac6TlAs2Se3
Source: Alexandria
Functional: PBE
Structure: optimized geometry

Summary:
**Raw formation energy**: -1.487 eV/atom
**DFT total energy**: -5.385 eV/atom
**Space-group type**: C2/m (12)

Geometry as POSCAR:
```
Ac6TlAs2Se3
1.0
-2.537 -1.067 -3.601
-0.510 -8.698 2.937
-6.640 4.771 6.117
Ac Tl As Se
6 1 2 3
direct
0.331 0.908 0.662
0.669 0.578 0.338
0.669 0.092 0.338
0.003 0.259 0.006
0.997 0.741 0.994
0.331 0.422 0.662
0.500 0.000 0.000
0.831 0.663 0.663
0.169 0.337 0.337
0.500 0.500 0.000
0.833 0.169 0.666
0.167 0.831 0.334
```

=====

Compound: AcTl2AsSe4
Source: Alexandria
Functional: PBE
Structure: optimized geometry

Summary:
**Raw formation energy**: -0.751 eV/atom
**DFT total energy**: -4.180 eV/atom
**Space-group type**: Imma (74)

Geometry as POSCAR:
```
AcTl2AsSe4
1.0
-2.983 -0.608 -8.311
-4.347 -7.425 2.079
-1.124 7.655 4.875
Ac Tl As Se
2 4 2 8
direct
0.000 0.500 0.000
0.000 0.500 0.500
0.500 0.000 0.000
0.500 0.000 0.500
0.000 0.000 0.500
0.500 0.500 0.000
0.500 0.500 0.500
0.000 0.000 0.000
0.214 0.764 0.989
0.736 0.286 0.511
0.264 0.714 0.489
0.786 0.236 0.011
0.754 0.746 0.953
0.754 0.746 0.547
0.246 0.254 0.453
0.246 0.254 0.047
```

=====

Compound: Ac2TmAs2Se2
Source: Alexandria
Functional: PBE
Structure: optimized geometry

Summary:
**Raw formation energy**: -1.376 eV/atom
**DFT total energy**: -5.512 eV/atom
**Space-group type**: I4/mmm (139)

Geometry as POSCAR:
```
Ac2TmAs2Se2
1.0
-0.447 5.127 0.836
-5.174 -0.364 -0.537
2.089 -3.727 7.714
Ac Tm As Se
2 1 2 2
direct
0.367 0.367 0.734
0.633 0.633 0.266
0.000 0.000 0.000
0.000 0.500 0.000
0.500 0.000 0.000
0.179 0.179 0.358
0.821 0.821 0.642
```

=====

Compound: AcZnAsSe
Source: Alexandria
Functional: PBE
Structure: optimized geometry

Summary:
**Raw formation energy**: -1.058 eV/atom
**DFT total energy**: -4.438 eV/atom
**Space-group type**: R-3m (166)

Geometry as POSCAR:
```
AcZnAsSe
1.0
-3.939 -1.927 0.847
-0.448 -4.427 -0.383
2.175 -3.650 13.591
Ac Zn As Se
2 2 2 2
direct
0.090 0.090 0.730
0.910 0.910 0.270
0.689 0.689 0.932
0.311 0.311 0.068
0.628 0.628 0.116
0.372 0.372 0.884
0.791 0.791 0.626
0.209 0.209 0.374
```

=====

Compound: AcSiAs2
Source: Alexandria
Functional: PBE
Structure: optimized geometry

Summary:
**Raw formation energy**: -0.269 eV/atom
**DFT total energy**: -4.977 eV/atom
**Space-group type**: P4/mmm (123)
**Energy above the lowest structure with this stoichiometry**: 0.667 eV per formula unit

Geometry as POSCAR:
```
AcSiAs2
1.0
-2.648 -0.499 2.838
2.629 -1.997 2.101
1.863 5.253 2.662
Ac Si As
1 1 2
direct
0.500 0.500 0.500
0.500 0.500 0.000
0.000 0.000 0.792
0.000 0.000 0.208
```

=====

Compound: AcSiAs
Source: Alexandria
Functional: PBE
Structure: optimized geometry

Summary:
**Raw formation energy**: -0.634 eV/atom
**DFT total energy**: -5.361 eV/atom
**Space-group type**: C2/m (12)
**Energy above the lowest structure with this stoichiometry**: 0.081 eV per formula unit

Geometry as POSCAR:
```
AcSiAs
1.0
-2.407 -2.989 2.162
-1.365 -4.485 -3.234
4.847 -8.231 -1.496
Ac Si As
2 2 2
direct
0.391 0.959 0.260
0.609 0.041 0.740
0.105 0.732 0.057
0.895 0.268 0.943
0.899 0.578 0.625
0.101 0.422 0.375
```

=====

Compound: Ac8Si5As
Source: Alexandria
Functional: PBE
Structure: optimized geometry

Summary:
**Raw formation energy**: -0.640 eV/atom
**DFT total energy**: -5.256 eV/atom
**Space-group type**: I-4 (82)

Geometry as POSCAR:
```
Ac8Si5As
1.0
-3.789 2.579 7.022
-4.660 2.143 -6.634
0.904 -8.334 0.200
Ac Si As
8 5 1
direct
0.123 0.749 0.006
0.994 0.117 0.743
0.752 0.250 0.373
0.627 0.379 0.876
0.497 0.621 0.248
0.626 0.883 0.877
0.257 0.251 0.374
0.124 0.750 0.503
0.001 0.374 0.124
0.876 0.877 0.251
0.749 0.626 0.627
0.500 0.000 0.500
0.373 0.123 0.999
0.250 0.500 0.750
```

=====

Compound: Ac2SiAs
Source: Alexandria
Functional: PBE
Structure: optimized geometry

Summary:
**Raw formation energy**: -0.998 eV/atom
**DFT total energy**: -5.571 eV/atom
**Space-group type**: Cmcm (63)
**Energy above the lowest structure with this stoichiometry**: 0.000 eV per formula unit

Geometry as POSCAR:
```
Ac2SiAs
1.0
4.320 0.000 0.000
0.000 4.569 -0.812
0.000 -0.075 12.845
Ac Si As
4 2 2
direct
0.750 0.688 0.375
0.250 0.312 0.625
0.750 0.934 0.869
0.250 0.066 0.131
0.250 0.470 0.939
0.750 0.530 0.061
0.250 0.188 0.376
0.750 0.812 0.624
```

=====

Compound: Ac2SiAs
Source: Alexandria
Functional: PBE
Structure: optimized geometry

Summary:
**Raw formation energy**: -0.709 eV/atom
**DFT total energy**: -5.281 eV/atom
**Space-group type**: P4/mmm (123)
**Energy above the lowest structure with this stoichiometry**: 1.160 eV per formula unit

Geometry as POSCAR:
```
Ac2SiAs
1.0
3.805 0.000 0.000
0.000 3.805 0.000
0.000 0.000 7.995
Ac Si As
2 1 1
direct
0.000 0.000 0.739
0.000 0.000 0.261
0.500 0.500 0.000
0.500 0.500 0.500
```

=====

Compound: AcSiAs
Source: Alexandria
Functional: PBE
Structure: optimized geometry

Summary:
**Raw formation energy**: -0.661 eV/atom
**DFT total energy**: -5.388 eV/atom
**Space-group type**: P3m1 (156)
**Energy above the lowest structure with this stoichiometry**: 0.000 eV per formula unit

Geometry as POSCAR:
```
AcSiAs
1.0
-2.357 -2.875 2.327
0.251 -2.935 -3.372
3.137 0.013 3.195
Ac Si As
1 1 1
direct
0.666 0.667 0.333
0.172 0.333 0.667
0.162 0.000 0.000
```

=====

Compound: AcSiAs3
Source: Alexandria
Functional: PBE
Structure: optimized geometry

Summary:
**Raw formation energy**: -0.278 eV/atom
**DFT total energy**: -4.974 eV/atom
**Space-group type**: Pm-3m (221)

Geometry as POSCAR:
```
AcSiAs3
1.0
4.920 0.000 0.000
0.000 4.920 0.000
0.000 0.000 4.920
Ac Si As
1 1 3
direct
0.500 0.500 0.500
0.000 0.000 0.000
0.000 0.500 0.000
0.000 0.000 0.500
0.500 0.000 0.000
```

=====

Compound: Ac6SiAs4
Source: Alexandria
Functional: PBE
Structure: optimized geometry

Summary:
**Raw formation energy**: -1.161 eV/atom
**DFT total energy**: -5.586 eV/atom
**Space-group type**: Cmcm (63)

Geometry as POSCAR:
```
Ac6SiAs4
1.0
4.510 0.000 0.000
-2.255 7.419 0.000
0.000 0.000 22.780
Ac Si As
12 2 8
direct
0.500 0.000 0.000
0.500 0.000 0.500
0.050 0.101 0.335
0.950 0.899 0.665
0.950 0.899 0.835
0.050 0.101 0.165
0.776 0.551 0.416
0.224 0.449 0.584
0.224 0.449 0.916
0.776 0.551 0.084
0.313 0.626 0.250
0.687 0.374 0.750
0.661 0.322 0.250
0.339 0.678 0.750
0.862 0.724 0.543
0.411 0.823 0.129
0.138 0.276 0.457
0.589 0.177 0.871
0.862 0.724 0.957
0.138 0.276 0.043
0.589 0.177 0.629
0.411 0.823 0.371
```

=====

Compound: AcSiAs2
Source: Alexandria
Functional: PBE
Structure: optimized geometry

Summary:
**Raw formation energy**: -0.436 eV/atom
**DFT total energy**: -5.143 eV/atom
**Space-group type**: R-3m (166)
**Energy above the lowest structure with this stoichiometry**: 0.000 eV per formula unit

Geometry as POSCAR:
```
AcSiAs2
1.0
-1.158 -4.501 -0.013
1.727 -2.834 -3.253
4.178 -3.480 1.930
Ac Si As
1 1 2
direct
0.500 0.500 0.500
0.000 0.000 0.000
0.286 0.286 0.142
0.714 0.714 0.858
```

=====

Compound: AcSiAs2
Source: Alexandria
Functional: PBE
Structure: optimized geometry

Summary:
**Raw formation energy**: -0.197 eV/atom
**DFT total energy**: -4.905 eV/atom
**Space-group type**: Fm-3m (225)
**Energy above the lowest structure with this stoichiometry**: 0.953 eV per formula unit

Geometry as POSCAR:
```
AcSiAs2
1.0
-1.704 3.212 3.672
-4.890 1.668 -0.093
-3.370 -1.678 3.540
Ac Si As
1 1 2
direct
0.000 0.000 0.000
0.500 0.500 0.500
0.250 0.250 0.250
0.750 0.750 0.750
```

=====

Compound: Ac2SiAs
Source: Alexandria
Functional: PBE
Structure: optimized geometry

Summary:
**Raw formation energy**: -0.865 eV/atom
**DFT total energy**: -5.437 eV/atom
**Space-group type**: R-3m (166)
**Energy above the lowest structure with this stoichiometry**: 0.534 eV per formula unit

Geometry as POSCAR:
```
Ac2SiAs
1.0
-2.627 -2.694 -2.438
0.976 -0.787 -4.305
3.731 -7.215 -0.170
Ac Si As
2 1 1
direct
0.248 0.248 0.256
0.752 0.752 0.744
0.000 0.000 0.000
0.500 0.500 0.500
```

=====

Compound: Ac2SiAs
Source: Alexandria
Functional: PBE
Structure: optimized geometry

Summary:
**Raw formation energy**: -0.649 eV/atom
**DFT total energy**: -5.221 eV/atom
**Space-group type**: Fm-3m (225)
**Energy above the lowest structure with this stoichiometry**: 1.398 eV per formula unit

Geometry as POSCAR:
```
Ac2SiAs
1.0
5.481 0.000 0.000
2.740 4.747 0.000
2.740 1.582 4.475
Ac Si As
2 1 1
direct
0.250 0.250 0.250
0.750 0.750 0.750
0.500 0.500 0.500
0.000 0.000 0.000
```